The following is a PBE calculation of Sc6Zn5In after structural relaxation, from Alexandria via LeMat-Bulk.

Unit cell a=4.7731 b=6.8227 c=14.3298 alpha=90.00 beta=90.00 gamma=90.00
Space group Immm (No. 71)
Asymmetric unit:
Sc1 0.0000 0.2354 0.0000 x4
Sc2 0.0000 0.2574 0.3286 x8
Zn1 0.0000 0.0000 0.1679 x4
Zn2 0.0000 0.5000 0.1640 x4
Zn3 0.0000 0.5000 0.5000 x2
In1 0.0000 0.0000 0.5000 x2

- E_tot (eV/f.u.) = -51.683
- formation energy from the elements (eV/atom) = -0.38
- magnetic moment (μB/f.u.) = 0.000

---

The following is a PBE calculation of MgHgBC2 after structural relaxation, from Alexandria via LeMat-Bulk.

Unit cell a=3.5285 b=3.5285 c=5.3977 alpha=90.00 beta=90.00 gamma=90.00
Space group P4/mmm (No. 123)
Asymmetric unit:
Mg1 0.0000 0.0000 0.0000 x1
Hg1 0.5000 0.5000 0.0000 x1
B1 0.0000 0.0000 0.5000 x1
C1 0.0000 0.5000 0.5000 x2

- E_tot (eV/f.u.) = -18.339
- formation energy from the elements (eV/atom) = 1.74
- magnetic moment (μB/f.u.) = 0.000

---

The following is a PBE calculation of AgRhF2 after structural relaxation, from Alexandria via LeMat-Bulk.

Unit cell a=6.5548 b=6.5548 c=5.4847 alpha=90.00 beta=90.00 gamma=90.00
Space group I-42d (No. 122)
Asymmetric unit:
Ag1 0.0000 0.0000 0.0000 x4
Rh1 0.0000 0.0000 0.5000 x4
F1 0.1865 0.2500 0.6250 x8

- uncorrected formation energy (eV/atom) = -0.419
- E_tot (eV/f.u.) = -15.622
- magnetic moment (μB/f.u.) = 0.000
- relative energy among the computed polymorphs (meV per atom) = 336

---

The following is a PBE calculation of CsTbSe4 after structural relaxation, from Alexandria via LeMat-Bulk.

Unit cell a=6.3309 b=6.3309 c=9.0823 alpha=90.00 beta=90.00 gamma=90.00
Space group P4/nbm (No. 125, origin choice 2)
Asymmetric unit:
Cs1 0.2500 0.2500 0.0000 x2
Tb1 0.2500 0.2500 0.5000 x2
Se1 0.1139 0.6139 0.3102 x8

- uncorrected formation energy (eV/atom) = -1.171
- E_tot (eV/f.u.) = -26.447
- magnetic moment (μB/f.u.) = 0.000

---

The following is a PBE calculation of U3Cu5O12 after structural relaxation, from Alexandria via LeMat-Bulk.

Unit cell a=12.2985 b=12.2985 c=12.2985 alpha=90.00 beta=90.00 gamma=90.00
Space group Ia-3d (No. 230)
Asymmetric unit:
U1 0.0000 0.2500 0.1250 x24
Cu1 0.0000 0.0000 0.0000 x16
Cu2 0.0000 0.2500 0.3750 x24
O1 0.0199 0.0690 0.6530 x96

- uncorrected formation energy (eV/atom) = -1.872
- E_tot (eV/f.u.) = -151.275
- magnetic moment (μB/f.u.) = 0.548

---

The following is a PBE calculation of La3PrH after structural relaxation, from Alexandria via LeMat-Bulk.

Unit cell a=5.2764 b=5.2764 c=5.2764 alpha=90.00 beta=90.00 gamma=90.00
Space group Pm-3m (No. 221)
Asymmetric unit:
La1 0.0000 0.0000 0.5000 x3
Pr1 0.5000 0.5000 0.5000 x1
H1 0.0000 0.0000 0.0000 x1

- E_tot (eV/f.u.) = -23.820
- magnetic moment (μB/f.u.) = 0.000

---

> Number 2 is which compound?

MgHgBC2

---

> magnetic moment of number 5 (U3Cu5O12)?

0.548 μB/f.u.

---

> What is the formula in the second record?

MgHgBC2